No. 1
{"formula": "Li3RhN", "functional": "PBE", "state": "relaxed", "spacegroup": "No. 221", "dos_ef_per_ev_cell": 5.0, "m_tot_mub_per_fu": 1.11, "polymorph_energy_kj_per_mol_atoms": 36.5, "lattice_angstrom": [[3.8524, 0.0000, 0.0000], [0.0000, 3.8524, 0.0000], [0.0000, 0.0000, 3.8524]], "species": ["Li", "Li", "Li", "Rh", "N"], "fractional_positions": [[0.0000, 0.5000, 0.0000], [0.5000, 0.0000, 0.0000], [0.0000, 0.0000, 0.5000], [0.5000, 0.5000, 0.5000], [0.0000, 0.0000, 0.0000]]}


No. 2
{"formula": "Mg2HgClF", "functional": "PBE", "state": "relaxed", "dft_energy_ev_per_atom": -1.7549, "spacegroup": "No. 123", "dos_ef_per_ev_cell": 1.7, "m_tot_mub_per_fu": 0.00, "lattice_angstrom": [[5.3726, 0.0000, 0.0000], [0.0000, 5.3726, 0.0000], [0.0000, 0.0000, 5.2303]], "species": ["Mg", "Mg", "Hg", "Cl", "F"], "fractional_positions": [[0.5000, 0.0000, 0.0000], [0.0000, 0.5000, 0.0000], [0.0000, 0.0000, 0.0000], [0.0000, 0.0000, 0.5000], [0.5000, 0.5000, 0.5000]]}


No. 3
{"formula": "CaOsW", "functional": "PBE", "state": "relaxed", "formation_energy_ev_per_atom": 0.85, "spacegroup": "No. 216", "dos_ef_per_ev_cell": 3.5, "m_tot_mub_per_fu": 0.00, "polymorph_energy_kj_per_mol_atoms": 40.8, "lattice_angstrom": [[4.4531, 0.0000, 0.0000], [2.2266, 3.8565, 0.0000], [2.2266, 1.2855, 3.6359]], "species": ["Os", "Ca", "W"], "fractional_positions": [[0.7500, 0.7500, 0.7500], [0.5000, 0.5000, 0.5000], [0.0000, 0.0000, 0.0000]]}


No. 4
{"formula": "AcHoPuPb", "functional": "PBE", "state": "relaxed", "formation_energy_ev_per_atom": 0.07, "spacegroup": "No. 216", "dos_ef_per_ev_cell": 14.3, "m_tot_mub_per_fu": 7.06, "lattice_angstrom": [[5.6001, 0.0000, 0.0000], [2.8001, 4.8498, 0.0000], [2.8001, 1.6166, 4.5725]], "species": ["Ho", "Ac", "Pb", "Pu"], "fractional_positions": [[0.0000, 0.0000, 0.0000], [0.7500, 0.7500, 0.7500], [0.2500, 0.2500, 0.2500], [0.5000, 0.5000, 0.5000]]}


No. 5
{"formula": "BaLiAcPd", "functional": "PBE", "state": "relaxed", "formation_energy_ev_per_atom": -0.18, "spacegroup": "No. 216", "dos_ef_per_ev_cell": 5.6, "m_tot_mub_per_fu": 0.00, "lattice_angstrom": [[-1.3699, 5.2433, 1.3192], [-4.3276, 0.9861, 3.3777], [0.8747, 1.8936, 5.1729]], "species": ["Li", "Ac", "Ba", "Pd"], "fractional_positions": [[0.5000, 0.5000, 0.5000], [0.2500, 0.2500, 0.2500], [0.7500, 0.7500, 0.7500], [0.0000, 0.0000, 0.0000]]}


No. 6
{"formula": "Pm3Nd8Mg2", "functional": "PBE", "state": "relaxed", "formation_energy_ev_per_atom": 0.07, "spacegroup": "No. 2", "dos_ef_per_ev_cell": 19.2, "m_tot_mub_per_fu": 0.00, "lattice_angstrom": [[-7.3988, 0.6412, -0.3112], [-0.0384, -3.1813, -9.1916], [-5.8510, -5.3311, 1.6209]], "species": ["Mg", "Mg", "Nd", "Nd", "Nd", "Nd", "Nd", "Nd", "Nd", "Nd", "Pm", "Pm", "Pm"], "fractional_positions": [[0.4851, 0.4387, 0.6710], [0.5149, 0.5613, 0.3290], [0.0685, 0.6767, 0.9039], [0.1628, 0.8525, 0.4618], [0.5377, 0.6911, 0.9374], [0.6711, 0.8221, 0.4578], [0.3289, 0.1779, 0.5422], [0.4623, 0.3089, 0.0626], [0.9315, 0.3233, 0.0961], [0.8372, 0.1475, 0.5382], [0.0000, 0.5000, 0.5000], [0.2543, 0.9992, 0.9879], [0.7457, 0.0008, 0.0121]]}


No. 7
{"formula": "KCoP", "functional": "PBE", "state": "relaxed", "formation_energy_ev_per_atom": 0.75, "spacegroup": "No. 216", "dos_ef_per_ev_cell": 1.0, "m_tot_mub_per_fu": 2.89, "lattice_angstrom": [[-2.3991, 2.0299, -3.3987], [-4.6206, 0.1768, 0.2149], [-2.1287, 4.0391, 0.7627]], "species": ["Co", "K", "P"], "fractional_positions": [[0.0000, 0.0000, 0.0000], [0.5000, 0.5000, 0.5000], [0.7500, 0.7500, 0.7500]]}


No. 8
{"formula": "SmTmAgPt", "functional": "PBE", "state": "relaxed", "formation_energy_ev_per_atom": -0.76, "spacegroup": "No. 216", "dos_ef_per_ev_cell": 2.4, "m_tot_mub_per_fu": 0.00, "lattice_angstrom": [[5.0451, 0.0000, 0.0000], [2.5225, 4.3692, 0.0000], [2.5225, 1.4564, 4.1193]], "species": ["Ag", "Pt", "Tm", "Sm"], "fractional_positions": [[0.2500, 0.2500, 0.2500], [0.7500, 0.7500, 0.7500], [0.5000, 0.5000, 0.5000], [0.0000, 0.0000, 0.0000]]}